[1]
# SrNiAgSe3

Crystalline SrNiAgSe3 at its relaxed geometry (PBE-GGA, OQMD via LeMat-Bulk).

abc: 7.450 4.035 9.173
angles: 90.00 109.17 90.00
Space group P2_1/m (No. 11)
Unique sites:
1 Sr 0.236 0.250 0.273 x2
2 Ni 0.327 0.750 0.848 x2
3 Ag 0.094 0.250 0.611 x2
4 Se 0.105 0.250 0.901 x2
5 Se 0.303 0.750 0.556 x2
6 Se 0.469 0.750 0.122 x2

Calculated values
Magnetization: 0.0 μB/cell
Final energy: -4.063 eV per atom



[2]
# Ba2NbCu

Crystalline Ba2NbCu at its relaxed geometry (PBE-GGA, OQMD via LeMat-Bulk).

abc: 7.761 7.761 7.761
angles: 90.00 90.00 90.00
Space group F-43m (No. 216)
Unique sites:
1 Ba 0.000 0.000 0.000 x4
2 Ba 0.250 0.250 0.250 x4
3 Nb 0.250 0.250 0.750 x4
4 Cu 0.000 0.000 0.500 x4

Calculated values
Magnetization: 14.3 μB/cell
Final energy: -3.484 eV per atom



[3]
# SrMgFeMo

Crystalline SrMgFeMo at its relaxed geometry (PBE-GGA, OQMD via LeMat-Bulk).

abc: 6.909 6.909 6.909
angles: 90.00 90.00 90.00
Space group F-43m (No. 216)
Unique sites:
1 Sr 0.000 0.000 0.000 x4
2 Mg 0.250 0.250 0.750 x4
3 Fe 0.250 0.250 0.250 x4
4 Mo 0.000 0.000 0.500 x4

Calculated values
Magnetization: 15.5 μB/cell
Final energy: -4.687 eV per atom
Relative energy among the computed polymorphs: 0.00 eV per formula unit



[4]
# Rb2InAgF6

Crystalline Rb2InAgF6 at its relaxed geometry (PBE-GGA, OQMD via LeMat-Bulk).

abc: 8.782 8.782 8.782
angles: 90.00 90.00 90.00
Space group Fm-3m (No. 225)
Unique sites:
1 Rb 0.250 0.250 0.250 x8
2 In 0.000 0.000 0.000 x4
3 Ag 0.000 0.000 0.500 x4
4 F 0.000 0.000 0.235 x24

Calculated values
Final energy: -4.215 eV per atom
Relative energy among the computed polymorphs: 0.00 eV per formula unit



[5]
# Nd2Ho2BBr5

Crystalline Nd2Ho2BBr5 at its relaxed geometry (PBE-GGA, OQMD via LeMat-Bulk).

abc: 18.164 3.981 8.519
angles: 90.00 102.59 90.00
Space group C2/m (No. 12)
Unique sites:
1 Nd 0.001 0.000 0.288 x4
2 Ho 0.141 0.500 0.573 x4
3 B 0.000 0.500 0.500 x2
4 Br 0.000 0.500 0.000 x2
5 Br 0.169 0.000 0.821 x4
6 Br 0.175 0.000 0.349 x4

Calculated values
Magnetization: 0.0 μB/cell
Final energy: -4.771 eV per atom



[6]
# BaTmAuS3

Crystalline BaTmAuS3 at its relaxed geometry (PBE-GGA, OQMD via LeMat-Bulk).

abc: 7.976 4.052 9.657
angles: 90.00 107.39 90.00
Space group P2_1/m (No. 11)
Unique sites:
1 Ba 0.240 0.250 0.278 x2
2 Tm 0.316 0.750 0.844 x2
3 Au 0.119 0.250 0.597 x2
4 S 0.084 0.250 0.848 x2
5 S 0.290 0.750 0.551 x2
6 S 0.443 0.750 0.134 x2

Calculated values
Magnetization: 0.0 μB/cell
Final energy: -5.231 eV per atom



[7]
# HoMgAuS3

Crystalline HoMgAuS3 at its relaxed geometry (PBE-GGA, OQMD via LeMat-Bulk).

abc: 3.727 12.552 10.491
angles: 90.00 90.00 90.00
Space group Cmcm (No. 63)
Unique sites:
1 Ho 0.000 0.000 0.000 x4
2 Mg 0.000 0.231 0.250 x4
3 Au 0.000 0.476 0.750 x4
4 S 0.000 0.120 0.750 x4
5 S 0.000 0.351 0.569 x8

Calculated values
Magnetization: 0.0 μB/cell
Final energy: -4.743 eV per atom



[8]
# LaIr2N2

Crystalline LaIr2N2 at its relaxed geometry (PBE-GGA, OQMD via LeMat-Bulk).

abc: 3.928 3.928 8.963
angles: 90.00 90.00 90.00
Space group P4/nmm (No. 129, origin choice 2)
Unique sites:
1 La 0.250 0.250 0.236 x2
2 Ir 0.250 0.250 0.908 x2
3 Ir 0.250 0.750 0.500 x2
4 N 0.250 0.250 0.650 x2
5 N 0.250 0.750 0.000 x2

Calculated values
Magnetization: 0.0 μB/cell
Final energy: -7.593 eV per atom



[9]
# Lu4OsBr4

Crystalline Lu4OsBr4 at its relaxed geometry (PBE-GGA, OQMD via LeMat-Bulk).

abc: 12.474 12.327 6.438
angles: 90.00 90.87 90.00
Space group C2/c (No. 15)
Unique sites:
1 Lu 0.075 0.173 0.490 x8
2 Lu 0.172 0.075 0.009 x8
3 Os 0.000 0.006 0.750 x4
4 Br 0.119 0.303 0.095 x8
5 Br 0.195 0.388 0.597 x8

Calculated values
Magnetization: 0.0 μB/cell
Final energy: -5.260 eV per atom



[10]
# LiHfInNi

Crystalline LiHfInNi at its relaxed geometry (PBE-GGA, OQMD via LeMat-Bulk).

abc: 6.302 6.302 6.302
angles: 90.00 90.00 90.00
Space group F-43m (No. 216)
Unique sites:
1 Li 0.000 0.000 0.000 x4
2 Hf 0.250 0.250 0.750 x4
3 In 0.250 0.250 0.250 x4
4 Ni 0.000 0.000 0.500 x4

Calculated values
Magnetization: 0.0 μB/cell
Final energy: -5.401 eV per atom
Relative energy among the computed polymorphs: 0.00 eV per formula unit



[11]
# AgBr

Crystalline AgBr at its relaxed geometry (PBE-GGA, OQMD via LeMat-Bulk).

abc: 5.814 5.814 5.814
angles: 90.00 90.00 90.00
Space group Fm-3m (No. 225)
Unique sites:
1 Ag 0.000 0.000 0.000 x4
2 Br 0.000 0.000 0.500 x4

Calculated values
Final energy: -2.563 eV per atom



[12]
# Pr3Mg3GaAgPt

Crystalline Pr3Mg3GaAgPt at its relaxed geometry (PBE-GGA, OQMD via LeMat-Bulk).

abc: 7.7685 7.7685 4.2325
angles: 90.00 90.00 120.00
Space group P-6 (No. 174)
Unique sites:
1 Pr 0.0931 0.7486 0.0000 x3
2 Mg 0.4219 0.0878 0.5000 x3
3 Ga 0.0000 0.0000 0.5000 x1
4 Ag 0.6667 0.3333 0.0000 x1
5 Pt 0.3333 0.6667 0.5000 x1

Calculated values
Magnetization: 0.1 μB/cell
Final energy: -3.967 eV per atom



[13]
# Pr3Tm3Te2Os

Crystalline Pr3Tm3Te2Os at its relaxed geometry (PBE-GGA, OQMD via LeMat-Bulk).

abc: 8.4215 8.4215 4.1384
angles: 90.00 90.00 120.00
Space group P-62m (No. 189)
Unique sites:
1 Pr 0.0000 0.6020 0.0000 x3
2 Tm 0.0000 0.2297 0.5000 x3
3 Te 0.3333 0.6667 0.5000 x2
4 Os 0.0000 0.0000 0.0000 x1

Calculated values
Magnetization: 0.1 μB/cell
Final energy: -5.796 eV per atom
Relative energy among the computed polymorphs: 0.00 eV per formula unit



[14]
# TbAsPbO

Crystalline TbAsPbO at its relaxed geometry (PBE-GGA, OQMD via LeMat-Bulk).

abc: 5.077 6.561 6.400
angles: 90.00 90.00 90.00
Space group Pmc2_1 (No. 26)
Unique sites:
1 Tb 0.000 0.148 0.000 x2
2 As 0.500 0.286 0.859 x2
3 Pb 0.500 0.269 0.399 x2
4 O 0.000 0.134 0.337 x2

Calculated values
Magnetization: 0.0 μB/cell
Final energy: -5.850 eV per atom
Relative energy among the computed polymorphs: 0.22 eV per formula unit



[15]
# Sc2InOsC

Crystalline Sc2InOsC at its relaxed geometry (PBE-GGA, OQMD via LeMat-Bulk).

abc: 4.615 4.615 3.959
angles: 90.00 90.00 90.00
Space group P4/mmm (No. 123)
Unique sites:
1 Sc 0.000 0.500 0.000 x2
2 In 0.000 0.000 0.500 x1
3 Os 0.500 0.500 0.500 x1
4 C 0.500 0.500 0.000 x1

Calculated values
Magnetization: 0.0 μB/cell
Final energy: -7.631 eV per atom



[16]
# TmBeMo

Crystalline TmBeMo at its relaxed geometry (PBE-GGA, OQMD via LeMat-Bulk).

abc: 6.023 6.023 6.023
angles: 90.00 90.00 90.00
Space group F-43m (No. 216)
Unique sites:
1 Tm 0.000 0.000 0.000 x4
2 Be 0.250 0.250 0.750 x4
3 Mo 0.000 0.000 0.500 x4

Calculated values
Magnetization: 1.4 μB/cell
Final energy: -5.771 eV per atom
Relative energy among the computed polymorphs: 0.00 eV per formula unit



[17]
# ZrPtC2

Crystalline ZrPtC2 at its relaxed geometry (PBE-GGA, OQMD via LeMat-Bulk).

abc: 3.261 3.261 4.581
angles: 90.00 90.00 90.00
Space group P4/mmm (No. 123)
Unique sites:
1 Zr 0.000 0.000 0.000 x1
2 Pt 0.500 0.500 0.500 x1
3 C 0.000 0.000 0.500 x1
4 C 0.500 0.500 0.000 x1

Calculated values
Magnetization: 0.0 μB/cell
Final energy: -7.841 eV per atom



[18]
# BaDySi3

Crystalline BaDySi3 at its relaxed geometry (PBE-GGA, OQMD via LeMat-Bulk).

abc: 4.687 4.687 11.463
angles: 90.00 90.00 90.00
Space group I4mm (No. 107)
Unique sites:
1 Ba 0.000 0.000 0.000 x2
2 Dy 0.000 0.000 0.654 x2
3 Si 0.000 0.000 0.390 x2
4 Si 0.000 0.500 0.296 x4

Calculated values
Magnetization: 0.0 μB/cell
Final energy: -4.658 eV per atom



[19]
# PrGdCl3

Crystalline PrGdCl3 at its relaxed geometry (PBE-GGA, OQMD via LeMat-Bulk).

abc: 15.556 3.939 10.506
angles: 90.00 117.94 90.00
Space group C2/m (No. 12)
Unique sites:
1 Pr 0.141 0.000 0.294 x4
2 Gd 0.089 0.500 0.948 x4
3 Cl 0.051 0.000 0.744 x4
4 Cl 0.154 0.500 0.511 x4
5 Cl 0.227 0.000 0.112 x4

Calculated values
Magnetization: 0.0 μB/cell
Final energy: -4.835 eV per atom
Relative energy among the computed polymorphs: 0.00 eV per formula unit



[20]
# TbY2Cd3Ag3

Crystalline TbY2Cd3Ag3 at its relaxed geometry (PBE-GGA, OQMD via LeMat-Bulk).

abc: 3.920 13.599 7.862
angles: 90.00 90.00 90.00
Space group Amm2 (No. 38)
Unique sites:
1 Tb 0.000 0.000 0.000 x2
2 Y 0.000 0.202 0.606 x4
3 Cd 0.500 0.000 0.667 x2
4 Cd 0.500 0.132 0.273 x4
5 Ag 0.000 0.000 0.404 x2
6 Ag 0.500 0.167 0.904 x4

Calculated values
DFT formation energy: -0.348 eV/atom
Magnetization: 0.0 μB/cell
Final energy: -3.539 eV per atom



[21]
# BaDyAgSeS2

Crystalline BaDyAgSeS2 at its relaxed geometry (PBE-GGA, OQMD via LeMat-Bulk).

abc: 4.164 14.107 10.650
angles: 90.00 90.00 90.00
Space group Cmcm (No. 63)
Unique sites:
1 Ba 0.000 0.241 0.250 x4
2 Dy 0.000 0.000 0.000 x4
3 Ag 0.000 0.469 0.750 x4
4 Se 0.000 0.085 0.750 x4
5 S 0.000 0.371 0.553 x8

Calculated values
Magnetization: 0.0 μB/cell
Final energy: -5.095 eV per atom



[22]
# SmBSb

Crystalline SmBSb at its relaxed geometry (PBE-GGA, OQMD via LeMat-Bulk).

abc: 6.406 6.406 6.406
angles: 90.00 90.00 90.00
Space group F-43m (No. 216)
Unique sites:
1 Sm 0.000 0.000 0.000 x4
2 B 0.250 0.250 0.750 x4
3 Sb 0.000 0.000 0.500 x4

Calculated values
Magnetization: 0.0 μB/cell
Final energy: -4.965 eV per atom
Relative energy among the computed polymorphs: 0.00 eV per formula unit



[23]
# Hf4ZnCuC2

Crystalline Hf4ZnCuC2 at its relaxed geometry (PBE-GGA, OQMD via LeMat-Bulk).

abc: 3.2604 3.2604 13.9247
angles: 90.00 90.00 120.00
Space group P-6m2 (No. 187)
Unique sites:
1 Hf 0.0000 0.0000 0.1507 x2
2 Hf 0.3333 0.6667 0.3346 x2
3 Zn 0.0000 0.0000 0.5000 x1
4 Cu 0.3333 0.6667 0.0000 x1
5 C 0.6667 0.3333 0.2448 x2

Calculated values
Magnetization: 0.0 μB/cell
Final energy: -8.404 eV per atom



[24]
# Fe2PSe3

Crystalline Fe2PSe3 at its relaxed geometry (PBE-GGA, OQMD via LeMat-Bulk).

abc: 4.830 3.395 5.726
angles: 90.00 90.06 90.00
Space group Pm (No. 6)
Unique sites:
1 Fe 0.000 0.000 0.000 x1
2 Fe 0.483 0.500 0.486 x1
3 P 0.199 0.000 0.353 x1
4 Se 0.287 0.500 0.858 x1
5 Se 0.708 0.500 0.128 x1
6 Se 0.807 0.000 0.618 x1

Calculated values
Magnetization: 0.8 μB/cell
Final energy: -5.749 eV per atom
Relative energy among the computed polymorphs: 0.00 eV per formula unit



[25]
# USn

Crystalline USn at its relaxed geometry (PBE-GGA, OQMD via LeMat-Bulk).

abc: 3.1334 3.1334 5.5116
angles: 90.00 90.00 120.00
Space group P-6m2 (No. 187)
Unique sites:
1 U 0.0000 0.0000 0.0000 x1
2 Sn 0.3333 0.6667 0.5000 x1

Calculated values
Magnetization: 1.7 μB/cell
Final energy: -7.626 eV per atom